# Na2YBS4

A geometry-optimized Na2YBS4 structure (PBE, the Alexandria database).

The structure in POSCAR format:
```
Na2YBS4
1.0
8.0774 -0.6820 0.0304
-0.6877 8.0770 0.0303
-3.6023 -3.6048 5.9479
S Y Na B
8 2 4 2
Cartesian
-0.5958 4.3539 2.7485
6.2912 6.1353 0.3072
4.3833 -0.5638 3.2601
3.1527 2.9946 2.7579
0.6348 0.7957 3.2508
-2.5037 -2.3451 5.7015
-1.8293 1.9843 5.7225
5.6169 1.8058 0.2861
5.9325 1.5541 3.0194
-0.3438 4.0385 0.0152
-1.8011 -1.8024 2.9740
4.0387 -0.3410 0.0152
3.6949 3.6975 0.0304
2.2376 -2.1434 2.9891
4.4751 -4.2868 5.9783
1.8937 1.8951 3.0043
```

Values from the calculation:
Total energy: -5.0988 eV per atom
E_form (uncorrected): -1.063 eV/atom
Space-group type: No. 15